(1)
{"formula": "LiReI2O", "functional": "PBE", "state": "relaxed", "energy_ev_per_cell": -24.5, "magnetic_moment_mub_per_cell": 0.00, "crystal_system": "tetragonal", "cell": [[5.6600, 0.0000, 0.0000], [0.0000, 5.6600, 0.0000], [0.0000, 0.0000, 3.7879]], "species": ["O", "Re", "I", "I", "Li"], "fractional_positions": [[0.0000, 0.0000, 0.5000], [0.0000, 0.0000, 0.0000], [0.0000, 0.5000, 0.0000], [0.5000, 0.0000, 0.0000], [0.5000, 0.5000, 0.5000]]}

=====

(2)
{"formula": "LiReI2O", "functional": "PBE", "state": "relaxed", "energy_ev_per_cell": -18.8, "magnetic_moment_mub_per_cell": 3.43, "crystal_system": "tetragonal", "cell": [[-2.6746, 0.2939, 4.5220], [-4.4472, -1.1786, -2.5537], [0.5705, -3.3568, 0.5556]], "species": ["I", "I", "O", "Re", "Li"], "fractional_positions": [[0.0000, 0.5000, 0.0000], [0.5000, 0.0000, 0.0000], [0.0000, 0.0000, 0.5000], [0.5000, 0.5000, 0.5000], [0.0000, 0.0000, 0.0000]]}

=====

(3)
{"formula": "Li2RhIO", "functional": "PBE", "state": "relaxed", "energy_ev_per_cell": -20.6, "magnetic_moment_mub_per_cell": 0.00, "crystal_system": "tetragonal", "cell": [[3.7948, 0.0000, 0.0000], [0.0000, 5.6816, 0.0000], [0.0000, 0.0000, 3.7948]], "species": ["Li", "Li", "O", "Rh", "I"], "fractional_positions": [[0.0000, 0.0000, 0.5000], [0.5000, 0.0000, 0.0000], [0.0000, 0.0000, 0.0000], [0.5000, 0.5000, 0.5000], [0.0000, 0.5000, 0.0000]]}

=====

(4)
{"formula": "LiRuIO2", "functional": "PBE", "state": "relaxed", "energy_ev_per_cell": -26.3, "magnetic_moment_mub_per_cell": 0.65, "crystal_system": "tetragonal", "cell": [[3.8226, 0.0000, 0.0000], [0.0000, 3.8226, 0.0000], [0.0000, 0.0000, 6.1485]], "species": ["Ru", "I", "Li", "O", "O"], "fractional_positions": [[0.0000, 0.0000, 0.0000], [0.0000, 0.0000, 0.5000], [0.5000, 0.5000, 0.5000], [0.0000, 0.5000, 0.0000], [0.5000, 0.0000, 0.0000]]}

=====

(5)
{"formula": "LiRu2IO", "functional": "PBE", "state": "relaxed", "energy_ev_per_cell": -21.3, "magnetic_moment_mub_per_cell": 2.40, "crystal_system": "tetragonal", "cell": [[-1.3558, 2.0180, -4.2591], [2.0686, -3.0493, -2.1033], [-4.0614, -2.7487, -0.0095]], "species": ["O", "Li", "Ru", "Ru", "I"], "fractional_positions": [[0.0000, 0.5000, 0.0000], [0.5000, 0.5000, 0.5000], [0.5000, 0.0000, 0.0000], [0.0000, 0.0000, 0.5000], [0.0000, 0.0000, 0.0000]]}

=====

(6)
{"formula": "Li2RuIO", "functional": "PBE", "state": "relaxed", "energy_ev_per_cell": -21.7, "magnetic_moment_mub_per_cell": 0.33, "crystal_system": "tetragonal", "cell": [[5.2624, 0.0000, 0.0000], [0.0000, 5.2624, 0.0000], [0.0000, 0.0000, 3.7030]], "species": ["Ru", "Li", "Li", "I", "O"], "fractional_positions": [[0.0000, 0.0000, 0.0000], [0.0000, 0.5000, 0.0000], [0.5000, 0.0000, 0.0000], [0.5000, 0.5000, 0.5000], [0.0000, 0.0000, 0.5000]]}

=====

(7)
{"formula": "LiRuIO2", "functional": "PBE", "state": "relaxed", "energy_ev_per_cell": -19.4, "magnetic_moment_mub_per_cell": 1.79, "crystal_system": "tetragonal", "cell": [[3.8402, 0.0000, 0.0000], [0.0000, 3.8402, 0.0000], [0.0000, 0.0000, 4.9269]], "species": ["O", "O", "Ru", "I", "Li"], "fractional_positions": [[0.0000, 0.5000, 0.0000], [0.5000, 0.0000, 0.0000], [0.5000, 0.5000, 0.5000], [0.0000, 0.0000, 0.5000], [0.0000, 0.0000, 0.0000]]}

=====

(8)
{"formula": "LiSIO2", "functional": "PBE", "state": "relaxed", "energy_ev_per_cell": -18.8, "magnetic_moment_mub_per_cell": 0.00, "crystal_system": "tetragonal", "cell": [[3.6691, 0.0000, 0.0000], [0.0000, 3.6691, 0.0000], [0.0000, 0.0000, 7.5722]], "species": ["I", "Li", "O", "O", "S"], "fractional_positions": [[0.0000, 0.0000, 0.5000], [0.5000, 0.5000, 0.5000], [0.5000, 0.0000, 0.0000], [0.0000, 0.5000, 0.0000], [0.0000, 0.0000, 0.0000]]}

=====

(9)
{"formula": "LiSI2O", "functional": "PBE", "state": "relaxed", "energy_ev_per_cell": -15.2, "magnetic_moment_mub_per_cell": 0.00, "crystal_system": "tetragonal", "cell": [[-0.0419, -4.6913, 3.3207], [1.2195, -3.2524, -4.5795], [3.5709, 0.4267, 0.6479]], "species": ["Li", "I", "I", "O", "S"], "fractional_positions": [[0.5000, 0.5000, 0.5000], [0.0000, 0.5000, 0.0000], [0.5000, 0.0000, 0.0000], [0.0000, 0.0000, 0.5000], [0.0000, 0.0000, 0.0000]]}

=====

(10)
{"formula": "LiSIO2", "functional": "PBE", "state": "relaxed", "energy_ev_per_cell": -14.9, "magnetic_moment_mub_per_cell": 0.12, "crystal_system": "tetragonal", "cell": [[3.7883, 0.0000, 0.0000], [0.0000, 3.7883, 0.0000], [0.0000, 0.0000, 6.8467]], "species": ["O", "O", "I", "S", "Li"], "fractional_positions": [[0.5000, 0.0000, 0.0000], [0.0000, 0.5000, 0.0000], [0.0000, 0.0000, 0.5000], [0.5000, 0.5000, 0.5000], [0.0000, 0.0000, 0.0000]]}

=====

(11)
{"formula": "LiSI2O", "functional": "PBE", "state": "relaxed", "energy_ev_per_cell": -12.6, "magnetic_moment_mub_per_cell": 0.00, "crystal_system": "tetragonal", "cell": [[-2.8995, -2.8205, 3.6166], [4.5804, -1.5622, 2.4538], [-0.1516, 2.8243, 2.0810]], "species": ["Li", "O", "S", "I", "I"], "fractional_positions": [[0.0000, 0.0000, 0.0000], [0.0000, 0.0000, 0.5000], [0.5000, 0.5000, 0.5000], [0.0000, 0.5000, 0.0000], [0.5000, 0.0000, 0.0000]]}

=====

(12)
{"formula": "LiS2IO", "functional": "PBE", "state": "relaxed", "energy_ev_per_cell": -16.1, "magnetic_moment_mub_per_cell": 0.00, "crystal_system": "tetragonal", "cell": [[-2.2896, -4.4365, 1.3047], [0.6903, -1.4343, -3.6658], [4.5376, -1.8748, 1.5880]], "species": ["S", "S", "I", "O", "Li"], "fractional_positions": [[0.0000, 0.0000, 0.5000], [0.5000, 0.0000, 0.0000], [0.0000, 0.0000, 0.0000], [0.0000, 0.5000, 0.0000], [0.5000, 0.5000, 0.5000]]}

=====

(13)
{"formula": "LiSb2IO", "functional": "PBE", "state": "relaxed", "energy_ev_per_cell": -18.0, "magnetic_moment_mub_per_cell": 0.00, "crystal_system": "tetragonal", "cell": [[-0.0132, 0.3796, 4.4354], [2.7993, -3.4481, 0.3035], [5.9965, 4.8334, -0.3958]], "species": ["I", "Sb", "Sb", "Li", "O"], "fractional_positions": [[0.0000, 0.0000, 0.5000], [0.5000, 0.0000, 0.0000], [0.0000, 0.5000, 0.0000], [0.5000, 0.5000, 0.5000], [0.0000, 0.0000, 0.0000]]}

=====

(14)
{"formula": "LiSb2IO", "functional": "PBE", "state": "relaxed", "energy_ev_per_cell": -13.4, "magnetic_moment_mub_per_cell": 0.00, "crystal_system": "tetragonal", "cell": [[-2.9550, 1.0160, 3.8723], [-3.8962, 0.3763, -3.0720], [-0.9078, -4.7921, 0.5645]], "species": ["Sb", "Sb", "I", "Li", "O"], "fractional_positions": [[0.5000, 0.0000, 0.0000], [0.0000, 0.5000, 0.0000], [0.0000, 0.0000, 0.5000], [0.0000, 0.0000, 0.0000], [0.5000, 0.5000, 0.5000]]}

=====

(15)
{"formula": "Li2SbIO6", "functional": "PBE", "state": "relaxed", "energy_ev_per_cell": -51.1, "magnetic_moment_mub_per_cell": 0.00, "crystal_system": "trigonal", "cell": [[-3.5931, 3.8137, -0.6797], [-2.0796, 0.8485, -4.7827], [-5.3334, -1.5194, -0.8696]], "species": ["Sb", "Li", "Li", "O", "O", "O", "O", "O", "O", "I"], "fractional_positions": [[0.8170, 0.8170, 0.5490], [0.0343, 0.0344, 0.8970], [0.5263, 0.5262, 0.4211], [0.9270, 0.5995, 0.2716], [0.0876, 0.4367, 0.7596], [0.2020, 0.9269, 0.2716], [0.7162, 0.0877, 0.7595], [0.5996, 0.2019, 0.2715], [0.4366, 0.7162, 0.7596], [0.3151, 0.3151, 0.0547]]}

=====

(16)
{"formula": "LiScI2O", "functional": "PBE", "state": "relaxed", "energy_ev_per_cell": -24.1, "magnetic_moment_mub_per_cell": 0.00, "crystal_system": "tetragonal", "cell": [[-0.4373, 5.6786, -1.7813], [-4.6263, 0.7992, 3.6836], [2.4574, 1.0836, 2.8511]], "species": ["I", "I", "Li", "Sc", "O"], "fractional_positions": [[0.0000, 0.5000, 0.0000], [0.5000, 0.0000, 0.0000], [0.5000, 0.5000, 0.5000], [0.0000, 0.0000, 0.0000], [0.0000, 0.0000, 0.5000]]}

=====

(17)
{"formula": "LiScI2O", "functional": "PBE", "state": "relaxed", "energy_ev_per_cell": -19.1, "magnetic_moment_mub_per_cell": 0.00, "crystal_system": "tetragonal", "cell": [[5.3681, 0.0000, 0.0000], [0.0000, 5.3681, 0.0000], [0.0000, 0.0000, 3.7009]], "species": ["I", "I", "Li", "O", "Sc"], "fractional_positions": [[0.5000, 0.0000, 0.0000], [0.0000, 0.5000, 0.0000], [0.0000, 0.0000, 0.0000], [0.0000, 0.0000, 0.5000], [0.5000, 0.5000, 0.5000]]}

=====

(18)
{"formula": "LiSeIO2", "functional": "PBE", "state": "relaxed", "energy_ev_per_cell": -19.0, "magnetic_moment_mub_per_cell": 0.00, "crystal_system": "tetragonal", "cell": [[-2.5804, -2.7842, 0.7833], [1.4195, -0.3045, 3.5939], [-4.3332, 4.6072, 2.1018]], "species": ["O", "O", "I", "Se", "Li"], "fractional_positions": [[0.5000, 0.0000, 0.0000], [0.0000, 0.5000, 0.0000], [0.0000, 0.0000, 0.5000], [0.0000, 0.0000, 0.0000], [0.5000, 0.5000, 0.5000]]}

=====

(19)
{"formula": "LiSeIO2", "functional": "PBE", "state": "relaxed", "energy_ev_per_cell": -14.4, "magnetic_moment_mub_per_cell": 0.00, "crystal_system": "tetragonal", "cell": [[-0.6308, 2.5059, -2.9374], [-3.1369, 1.4027, 1.8703], [3.7061, 4.3740, 2.9356]], "species": ["O", "O", "I", "Li", "Se"], "fractional_positions": [[0.5000, 0.0000, 0.0000], [0.0000, 0.5000, 0.0000], [0.0000, 0.0000, 0.5000], [0.0000, 0.0000, 0.0000], [0.5000, 0.5000, 0.5000]]}

=====

(20)
{"formula": "LiSnIO2", "functional": "PBE", "state": "relaxed", "energy_ev_per_cell": -17.1, "magnetic_moment_mub_per_cell": 0.63, "crystal_system": "tetragonal", "cell": [[4.3082, 0.0000, 0.0000], [0.0000, 4.3082, 0.0000], [0.0000, 0.0000, 4.9668]], "species": ["O", "O", "Li", "I", "Sn"], "fractional_positions": [[0.5000, 0.0000, 0.0000], [0.0000, 0.5000, 0.0000], [0.0000, 0.0000, 0.0000], [0.0000, 0.0000, 0.5000], [0.5000, 0.5000, 0.5000]]}

=====

(21)
{"formula": "LiSnIO2", "functional": "PBE", "state": "relaxed", "energy_ev_per_cell": -22.1, "magnetic_moment_mub_per_cell": 0.00, "crystal_system": "tetragonal", "cell": [[4.0119, 0.0000, 0.0000], [0.0000, 4.0119, 0.0000], [0.0000, 0.0000, 6.4496]], "species": ["I", "Li", "Sn", "O", "O"], "fractional_positions": [[0.0000, 0.0000, 0.5000], [0.5000, 0.5000, 0.5000], [0.0000, 0.0000, 0.0000], [0.5000, 0.0000, 0.0000], [0.0000, 0.5000, 0.0000]]}

=====

(22)
{"formula": "SrLiI2O", "functional": "PBE", "state": "relaxed", "energy_ev_per_cell": -17.0, "magnetic_moment_mub_per_cell": 1.00, "crystal_system": "tetragonal", "cell": [[-1.1905, 1.7780, 5.2462], [2.2678, -4.7392, 2.1208], [3.6500, 1.8384, 0.2052]], "species": ["Sr", "I", "I", "Li", "O"], "fractional_positions": [[0.5000, 0.5000, 0.5000], [0.0000, 0.5000, 0.0000], [0.5000, 0.0000, 0.0000], [0.0000, 0.0000, 0.0000], [0.0000, 0.0000, 0.5000]]}

=====

(23)
{"formula": "SrLi2IO6", "functional": "PBE", "state": "relaxed", "energy_ev_per_cell": -50.8, "magnetic_moment_mub_per_cell": 1.07, "crystal_system": "trigonal", "cell": [[-6.2956, 0.7210, 1.0286], [-3.7100, -1.6391, 4.9761], [-3.2329, 3.5649, 4.2488]], "species": ["O", "O", "O", "O", "O", "O", "Li", "Li", "Sr", "I"], "fractional_positions": [[0.2385, 0.6454, 0.9274], [0.7616, 0.3547, 0.0727], [0.3547, 0.0727, 0.7616], [0.9274, 0.2385, 0.6454], [0.0727, 0.7616, 0.3547], [0.6454, 0.9274, 0.2385], [0.3116, 0.3116, 0.3116], [0.6885, 0.6885, 0.6885], [0.5001, 0.5001, 0.5001], [0.0001, 0.0001, 0.0001]]}

=====

(24)
{"formula": "SrLiIO2", "functional": "PBE", "state": "relaxed", "energy_ev_per_cell": -19.2, "magnetic_moment_mub_per_cell": 2.00, "crystal_system": "tetragonal", "cell": [[4.4557, 0.0000, 0.0000], [0.0000, 4.4557, 0.0000], [0.0000, 0.0000, 5.0031]], "species": ["I", "Sr", "Li", "O", "O"], "fractional_positions": [[0.0000, 0.0000, 0.5000], [0.5000, 0.5000, 0.5000], [0.0000, 0.0000, 0.0000], [0.0000, 0.5000, 0.0000], [0.5000, 0.0000, 0.0000]]}

=====

(25)
{"formula": "SrLi2IO4", "functional": "PBE", "state": "relaxed", "energy_ev_per_cell": -37.6, "magnetic_moment_mub_per_cell": 0.00, "crystal_system": "orthorhombic", "cell": [[5.7296, 0.0000, 0.0000], [2.8648, 4.3973, -0.8675], [2.8648, -0.3753, 4.4663]], "species": ["Li", "Li", "O", "O", "O", "O", "I", "Sr"], "fractional_positions": [[0.5000, 0.7595, 0.2405], [0.5000, 0.2405, 0.7595], [0.9570, 0.5022, 0.1294], [0.0430, 0.8706, 0.4978], [0.4113, 0.1294, 0.5022], [0.5887, 0.4978, 0.8706], [0.0000, 0.5000, 0.5000], [0.0000, 0.0000, 0.0000]]}

=====

(26)
{"formula": "SrLiI2O", "functional": "PBE", "state": "relaxed", "energy_ev_per_cell": -16.7, "magnetic_moment_mub_per_cell": 1.02, "crystal_system": "tetragonal", "cell": [[-5.6349, 2.3220, -2.2279], [-2.8472, -5.6910, 1.2699], [-1.0558, 1.4646, 4.1967]], "species": ["I", "I", "Li", "O", "Sr"], "fractional_positions": [[0.5000, 0.0000, 0.0000], [0.0000, 0.5000, 0.0000], [0.5000, 0.5000, 0.5000], [0.0000, 0.0000, 0.5000], [0.0000, 0.0000, 0.0000]]}

=====

(27)
{"formula": "Sr2LiIO6", "functional": "PBE", "state": "relaxed", "energy_ev_per_cell": -54.9, "magnetic_moment_mub_per_cell": 0.00, "crystal_system": "cubic", "cell": [[-0.6869, 4.2765, -3.6421], [2.2467, -0.3104, -5.1847], [-3.3624, -0.6346, -4.5075]], "species": ["O", "O", "O", "O", "O", "O", "I", "Sr", "Sr", "Li"], "fractional_positions": [[0.2368, 0.7632, 0.2368], [0.2368, 0.2368, 0.7632], [0.7632, 0.2368, 0.2368], [0.7632, 0.2368, 0.7632], [0.7632, 0.7632, 0.2368], [0.2368, 0.7632, 0.7632], [0.0000, 0.0000, 0.0000], [0.2500, 0.2500, 0.2500], [0.7500, 0.7500, 0.7500], [0.5000, 0.5000, 0.5000]]}

=====

(28)
{"formula": "SrLiIO2", "functional": "PBE", "state": "relaxed", "energy_ev_per_cell": -19.5, "magnetic_moment_mub_per_cell": 2.00, "crystal_system": "tetragonal", "cell": [[-0.1154, -3.2374, -3.2750], [3.1835, -2.4232, 2.2832], [-5.0433, -3.3437, 3.4831]], "species": ["Li", "I", "Sr", "O", "O"], "fractional_positions": [[0.5000, 0.5000, 0.5000], [0.0000, 0.0000, 0.5000], [0.0000, 0.0000, 0.0000], [0.0000, 0.5000, 0.0000], [0.5000, 0.0000, 0.0000]]}